Entry from Alexandria: crystalline Na3Li2PuO6 at its relaxed geometry (PBE-GGA).

Summary:
formation energy from raw total energies	-2.09	eV/atom
DFT total energy	-6.41	eV/atom
M_tot	1.0	μB/f.u.
ρ	4.980	g/cm³
symmetry	C2/m, No. 12

Cell: 5.4853 5.4853 5.7100 Å, 99.10 99.10 120.10°
Site moments in Bohr magnetons follow the coordinates.
Positions (direct):
Na: 0.1784 0.8216 0.5000  0.00
Na: 0.8216 0.1784 0.5000  0.00
Na: 0.5000 0.5000 0.5000  0.00
Li: 0.3324 0.6676 0.0000  0.00
Li: 0.6676 0.3324 0.0000  0.00
Pu: 0.0000 0.0000 0.0000  1.39
O: 0.9290 0.6230 0.7881  -0.06
O: 0.7676 0.7676 0.2103  -0.06
O: 0.0710 0.3770 0.2119  -0.06
O: 0.6230 0.9290 0.7881  -0.06
O: 0.2324 0.2324 0.7897  -0.06
O: 0.3770 0.0710 0.2119  -0.06